# 1
## TcNiAg3 (PBE-GGA)

Data for an optimized crystal structure of TcNiAg3.

Output
The calculated density is 6.4 Mg/m³. The volume is 124.9 Å³/cell. The energy of formation is 1.93 eV/atom.

Unit cell a=4.9993 b=4.9993 c=4.9993 alpha=90.00 beta=90.00 gamma=90.00
Closest atoms and distances in Å follow each position.
Fractional positions:
Ni  0.5000  0.5000  0.5000  12 Ag 3.54
Tc  0.0000  0.0000  0.0000  6 Ag 2.50
Ag  0.0000  0.5000  0.0000  2 Tc 2.50
Ag  0.0000  0.0000  0.5000  2 Tc 2.50
Ag  0.5000  0.0000  0.0000  2 Tc 2.50


# 2
## Ac3La4Nd5 (PBE-GGA)

Data for an optimized crystal structure of Ac3La4Nd5.

Output
The calculated density is 7.1 Mg/m³. The volume is 458.7 Å³/cell. The energy of formation is 0.03 eV/atom.

Unit cell a=7.5831 b=10.0159 c=13.6484 alpha=137.52 beta=55.99 gamma=139.07
Closest atoms and distances in Å follow each position.
Fractional positions:
Ac  0.7518  0.4996  0.5003  4 Ac 3.75-3.83, 5 Nd 3.77-3.83, 3 La 3.80-3.81
Ac  0.0000  0.0000  0.5000  6 Nd 3.79-3.82, 4 Ac 3.80, 2 La 3.82
Ac  0.2482  0.5004  0.4997  4 Ac 3.75-3.83, 5 Nd 3.77-3.83, 3 La 3.80-3.81
La  0.0853  0.1716  0.8376  7 Nd 3.70-3.81, 3 La 3.70-3.80, 2 Ac 3.81-3.82
La  0.8290  0.6678  0.8384  6 Nd 3.69-3.81, 4 La 3.70-3.80, 2 Ac 3.80-3.81
La  0.1710  0.3322  0.1616  6 Nd 3.69-3.81, 4 La 3.70-3.80, 2 Ac 3.80-3.81
La  0.9147  0.8284  0.1624  7 Nd 3.70-3.81, 3 La 3.70-3.80, 2 Ac 3.81-3.82
Nd  0.3346  0.6731  0.8386  4 Nd 3.68-3.81, 5 La 3.70-3.80, 3 Ac 3.80-3.83
Nd  0.5000  0.0000  0.5000  6 Ac 3.77-3.79, 4 La 3.79-3.80, 2 Nd 3.80
Nd  0.5818  0.1685  0.8362  6 La 3.69-3.81, 4 Nd 3.72-3.81, 2 Ac 3.79
Nd  0.4182  0.8315  0.1638  6 La 3.69-3.81, 4 Nd 3.72-3.81, 2 Ac 3.79
Nd  0.6654  0.3269  0.1614  4 Nd 3.68-3.81, 5 La 3.70-3.80, 3 Ac 3.80-3.83


# 3
## BeSb2TePd (PBE-GGA)

Data for an optimized crystal structure of BeSb2TePd.

Output
The value obtained for the formation energy (no corrections) is 521.2 meV per atom. The calculated density is 7.0 Mg/m³. The volume is 115.6 Å³/cell.

Unit cell a=4.8100 b=4.8100 c=4.9980 alpha=90.00 beta=90.00 gamma=90.00
Closest atoms and distances in Å follow each position.
Fractional positions:
Sb  0.0000  0.5000  0.0000  2 Be 2.40
Sb  0.5000  0.0000  0.0000  2 Be 2.40
Te  0.0000  0.0000  0.5000  2 Be 2.50
Pd  0.5000  0.5000  0.5000  4 Te 3.40, 8 Sb 3.47
Be  0.0000  0.0000  0.0000  4 Sb 2.40, 2 Te 2.50


# 4
## TlGe2F (PBE-GGA)

Data for an optimized crystal structure of TlGe2F.

Output
The value obtained for the formation energy (no corrections) is -350.8 meV per atom. The calculated density is 6.9 Mg/m³. The volume is 176.3 Å³/cell.

Unit cell a=4.4228 b=4.4228 c=9.5424 alpha=76.60 beta=76.60 gamma=90.00
Closest atoms and distances in Å follow each position.
Fractional positions:
Tl  0.0000  0.0000  0.0000  4 Ge 2.95, 4 F 3.13
Tl  0.7500  0.2500  0.5000  4 Ge 2.95, 4 F 3.13
Ge  0.5268  0.1250  0.2500  2 Ge 2.59, 2 F 2.60
Ge  0.2232  0.6250  0.2500  2 Ge 2.59, 2 F 2.60
Ge  0.3750  0.4732  0.7500  2 Ge 2.59, 2 F 2.60
Ge  0.8750  0.7768  0.7500  2 Ge 2.59, 2 F 2.60
F  0.5000  0.5000  0.0000  4 Ge 2.60
F  0.2500  0.7500  0.5000  4 Ge 2.60


# 5
## LiDy4Se6 (PBE-GGA)

Data for an optimized crystal structure of LiDy4Se6.

Output
The value obtained for the formation energy (no corrections) is -1683.7 meV per atom. The calculated density is 7.4 Mg/m³. The volume is 505.7 Å³/cell.

Unit cell a=7.9686 b=7.9686 c=7.9686 alpha=88.82 beta=88.82 gamma=91.18
Closest atoms and distances in Å follow each position.
Fractional positions:
Li  0.5000  0.5000  0.5000  6 Se 2.65
Li  0.0000  0.0000  0.0000  6 Se 2.65
Dy  0.3608  0.1392  0.2500  8 Se 2.95-3.15
Dy  0.8608  0.2500  0.3608  8 Se 2.95-3.15
Dy  0.2500  0.6392  0.1392  8 Se 2.95-3.15
Dy  0.2500  0.2500  0.7500  6 Se 2.84
Dy  0.7500  0.7500  0.2500  6 Se 2.84
Dy  0.7500  0.3608  0.8608  8 Se 2.95-3.15
Dy  0.1392  0.7500  0.6392  8 Se 2.95-3.15
Dy  0.6392  0.8608  0.7500  8 Se 2.95-3.15
Se  0.6839  0.0596  0.0847  1 Li 2.65, 2 Dy 2.84-2.95
Se  0.0847  0.3161  0.0596  1 Li 2.65, 2 Dy 2.84-2.95
Se  0.5847  0.4404  0.1839  1 Li 2.65, 2 Dy 2.84-2.95
Se  0.9404  0.0847  0.6839  1 Li 2.65, 2 Dy 2.84-2.95
Se  0.5596  0.1839  0.5847  1 Li 2.65, 2 Dy 2.84-2.95
Se  0.1839  0.4153  0.4404  1 Li 2.65, 2 Dy 2.84-2.95
Se  0.8161  0.5847  0.5596  1 Li 2.65, 2 Dy 2.84-2.95
Se  0.4404  0.8161  0.4153  1 Li 2.65, 2 Dy 2.84-2.95
Se  0.0596  0.9153  0.3161  1 Li 2.65, 2 Dy 2.84-2.95
Se  0.4153  0.5596  0.8161  1 Li 2.65, 2 Dy 2.84-2.95
Se  0.9153  0.6839  0.9404  1 Li 2.65, 2 Dy 2.84-2.95
Se  0.3161  0.9404  0.9153  1 Li 2.65, 2 Dy 2.84-2.95


# 6
## TiZnInF6 (PBE-GGA)

Data for an optimized crystal structure of TiZnInF6.

Output
The value obtained for the formation energy (no corrections) is -2603.1 meV per atom. The calculated density is 3.7 Mg/m³. The volume is 308.3 Å³/cell.

Unit cell a=5.5494 b=5.5494 c=11.5581 alpha=90.00 beta=90.00 gamma=120.00
Closest atoms and distances in Å follow each position.
Fractional positions:
Ti  0.6667  0.3333  0.2500  6 F 2.00
Ti  0.3333  0.6667  0.7500  6 F 2.00
Zn  0.3333  0.6667  0.2500  6 F 2.08
Zn  0.6667  0.3333  0.7500  6 F 2.08
In  0.0000  0.0000  0.0000  6 F 2.79
In  0.0000  0.0000  0.5000  6 F 2.79
F  0.6222  0.6120  0.1563  1 Ti 2.00, 1 Zn 2.08
F  0.9898  0.3778  0.1563  1 Ti 2.00, 1 Zn 2.08
F  0.3778  0.9898  0.6563  1 Ti 2.00, 1 Zn 2.08
F  0.0102  0.6222  0.8437  1 Ti 2.00, 1 Zn 2.08
F  0.3880  0.3778  0.3437  1 Ti 2.00, 1 Zn 2.08
F  0.9898  0.6120  0.3437  1 Ti 2.00, 1 Zn 2.08
F  0.6120  0.9898  0.8437  1 Ti 2.00, 1 Zn 2.08
F  0.6222  0.0102  0.3437  1 Ti 2.00, 1 Zn 2.08
F  0.0102  0.3880  0.6563  1 Ti 2.00, 1 Zn 2.08
F  0.3880  0.0102  0.1563  1 Ti 2.00, 1 Zn 2.08
F  0.6120  0.6222  0.6563  1 Ti 2.00, 1 Zn 2.08
F  0.3778  0.3880  0.8437  1 Ti 2.00, 1 Zn 2.08


# 7
## FeCuTc2 (PBE-GGA)

Data for an optimized crystal structure of FeCuTc2.

Output
The calculated density is 9.8 Mg/m³. The volume is 53.4 Å³/cell. The energy of formation is 0.19 eV/atom.

Unit cell a=3.1038 b=3.1038 c=5.5469 alpha=90.00 beta=90.00 gamma=90.00
Closest atoms and distances in Å follow each position.
Fractional positions:
Cu  0.0000  0.0000  0.5183  4 Fe 2.48, 5 Tc 2.64-2.67
Fe  0.5000  0.5000  0.7272  4 Cu 2.48, 5 Tc 2.62-2.66
Tc  0.0000  0.0000  0.9992  4 Tc 2.61, 4 Fe 2.66, 2 Cu 2.67-2.88
Tc  0.5000  0.5000  0.2552  4 Tc 2.61, 1 Fe 2.62, 4 Cu 2.64


# 8
## LiSm2Ga3Rh4 (PBE-GGA)

Data for an optimized crystal structure of LiSm2Ga3Rh4.

Output
The calculated density is 8.5 Mg/m³. The volume is 181.9 Å³/cell. The energy of formation is -0.73 eV/atom.

Unit cell a=4.2026 b=4.2026 c=10.3019 alpha=90.00 beta=90.00 gamma=90.00
Closest atoms and distances in Å follow each position.
Fractional positions:
Li  0.5000  0.5000  0.5000  4 Rh 2.52
Sm  0.5000  0.0000  0.2452  6 Ga 3.21-3.36, 8 Rh 3.22-3.29, 2 Li 3.36
Sm  0.0000  0.5000  0.7548  6 Ga 3.21-3.36, 8 Rh 3.22-3.29, 2 Li 3.36
Ga  0.0000  0.0000  0.5000  4 Rh 2.52
Ga  0.5000  0.0000  0.8729  5 Rh 2.46-2.48
Ga  0.0000  0.5000  0.1271  5 Rh 2.46-2.48
Rh  0.5000  0.5000  0.0000  4 Ga 2.48
Rh  0.0000  0.0000  0.0000  4 Ga 2.48
Rh  0.5000  0.0000  0.6343  3 Ga 2.46-2.52, 2 Li 2.52
Rh  0.0000  0.5000  0.3657  3 Ga 2.46-2.52, 2 Li 2.52